The following is a PBE calculation of a relaxed structure of ScIrPb2, from Alexandria.

POSCAR file:
```
ScIrPb2
1.0
1.468 -3.558 -6.640
5.981 -2.878 -3.853
-4.420 0.826 6.219
Ir Pb Sc
1 2 1
Direct
0.250 0.750 0.500
0.080 0.080 0.000
0.420 0.420 0.000
0.750 0.250 0.500
```

## Properties
DOS at the Fermi energy: 0.594 states/eV/atom
calculated density: 10.63 g/cm³
M_tot: 0.00 μB per formula unit
raw total energy: -0.4281 Ry/atom
energy above the lowest structure with this stoichiometry: 0.107 eV/atom
ΔH_f (0 K): -0.17 eV/atom